# 1
Here is a relaxed structure of Na12SnSb7 from Alexandria via LeMat-Bulk. Energies are from PBE-GGA.

The structure in POSCAR format:
```
Na12SnSb7
1.0
8.6141 0.6815 1.0228
-1.7407 8.4638 1.0228
-1.7407 -2.3160 8.2048
Na Sb Sn
12 7 1
direct
0.2665 0.7801 0.1685
0.8433 0.6019 0.5613
0.2199 0.8315 0.7335
0.6019 0.5613 0.8433
0.5613 0.8433 0.6019
0.4387 0.1567 0.3981
0.1567 0.3981 0.4387
0.3981 0.4387 0.1567
0.7801 0.1685 0.2665
0.1685 0.2665 0.7801
0.8315 0.7335 0.2199
0.7335 0.2199 0.8315
0.9812 0.6189 0.8966
0.6189 0.8966 0.9812
0.1034 0.0188 0.3811
0.5000 0.5000 0.5000
0.8966 0.9812 0.6189
0.0188 0.3811 0.1034
0.3811 0.1034 0.0188
0.0000 0.0000 0.0000
```

Values from the calculation:
Symmetry   R-3, No. 148
VASP energy   -2.661 eV/atom
M_tot   0.0000 μB/atom
Formation energy (no corrections)   -0.2267 eV per atom

---

# 2
Here is a relaxed structure of Na5Sn2Sb5 from Alexandria via LeMat-Bulk. Energies are from PBE-GGA.

The structure in POSCAR format:
```
Na5Sn2Sb5
1.0
3.9755 0.0000 0.0000
-1.9877 7.9087 -0.1781
0.0000 -4.0465 12.4978
Sb Na Sn
5 5 2
direct
0.0000 0.0000 0.0000
0.6639 0.3279 0.7982
0.3361 0.6721 0.2018
0.8815 0.7631 0.6073
0.1185 0.2369 0.3927
0.3307 0.6614 0.9505
0.6693 0.3386 0.0495
0.2326 0.4652 0.6431
0.7674 0.5348 0.3569
0.5000 0.0000 0.5000
0.9641 0.9281 0.2090
0.0359 0.0719 0.7910
```

Values from the calculation:
Symmetry   C2/m, No. 12
VASP energy   -3.117 eV/atom
M_tot   0.0000 μB/atom
Formation energy (no corrections)   -0.1827 eV per atom

---

The lowest formation energy (no corrections) belongs to which entry?
Na12SnSb7

---

Which value of M_tot does entry 1 give?
0.0000 μB/atom

---

Which value of M_tot does entry 1 give?
0.0000 μB/atom

---

Please write out number 2 again, unchanged.
Here is a relaxed structure of Na5Sn2Sb5 from Alexandria via LeMat-Bulk. Energies are from PBE-GGA.

The structure in POSCAR format:
```
Na5Sn2Sb5
1.0
3.9755 0.0000 0.0000
-1.9877 7.9087 -0.1781
0.0000 -4.0465 12.4978
Sb Na Sn
5 5 2
direct
0.0000 0.0000 0.0000
0.6639 0.3279 0.7982
0.3361 0.6721 0.2018
0.8815 0.7631 0.6073
0.1185 0.2369 0.3927
0.3307 0.6614 0.9505
0.6693 0.3386 0.0495
0.2326 0.4652 0.6431
0.7674 0.5348 0.3569
0.5000 0.0000 0.5000
0.9641 0.9281 0.2090
0.0359 0.0719 0.7910
```

Values from the calculation:
Symmetry   C2/m, No. 12
VASP energy   -3.117 eV/atom
M_tot   0.0000 μB/atom
Formation energy (no corrections)   -0.1827 eV per atom